(1)
Compound: RbLaTi2Tc
Source: Alexandria via LeMat-Bulk
Functional: PBE-GGA
Structure: optimized geometry

Computed properties:
Its symmetry is P4/mmm. For the formation energy from the elements, the calculation gives 1.932 eV per atom.

The structure in CIF format:
```
data_RbLaTi2Tc
_chemical_formula_sum 'Rb1 La1 Ti2 Tc1'
_cell_length_a 4.8806
_cell_length_b 4.8806
_cell_length_c 4.9775
_cell_angle_alpha 90.00
_cell_angle_beta 90.00
_cell_angle_gamma 90.00
_symmetry_space_group_name_H-M 'P 1'
_symmetry_Int_Tables_number 1
loop_
_symmetry_equiv_pos_as_xyz
'x,y,z'
loop_
_atom_site_label
_atom_site_type_symbol
_atom_site_fract_x
_atom_site_fract_y
_atom_site_fract_z
Rb1 Rb 0.0000 0.0000 0.0000
La1 La 0.5000 0.5000 0.5000
Ti1 Ti 0.0000 0.5000 0.0000
Ti2 Ti 0.5000 0.0000 0.0000
Tc1 Tc 0.0000 0.0000 0.5000
```

---

(2)
Compound: SrTiO
Source: Alexandria via LeMat-Bulk
Functional: PBE-GGA
Structure: optimized geometry

Computed properties:
Its symmetry is Pmm2. Its excess energy over the best structure of this formula in the dataset is 0 meV per atom. The calculation puts the formation energy (no corrections) at -1.59 eV/atom.

The structure in CIF format:
```
data_SrTiO
_chemical_formula_sum 'Sr2 Ti2 O2'
_cell_length_a 3.4985
_cell_length_b 3.8800
_cell_length_c 9.3523
_cell_angle_alpha 90.00
_cell_angle_beta 90.00
_cell_angle_gamma 90.00
_symmetry_space_group_name_H-M 'P 1'
_symmetry_Int_Tables_number 1
loop_
_symmetry_equiv_pos_as_xyz
'x,y,z'
loop_
_atom_site_label
_atom_site_type_symbol
_atom_site_fract_x
_atom_site_fract_y
_atom_site_fract_z
Sr1 Sr 0.0000 0.0000 0.0000
Sr2 Sr 0.5000 0.5000 0.3921
Ti1 Ti 0.0000 0.0000 0.6400
Ti2 Ti 0.5000 0.5000 0.7632
O1 O 0.0000 0.0000 0.4376
O2 O 0.5000 0.0000 0.7934
```

---

N(E_F) values, unit states/eV/f.u., following the record order: 7.88, 2.43.